Entry 1:
First-principles (GGA-PBE) data for a relaxed NdTlInPb crystal, as listed in the Alexandria database.

The structure belongs to space group F-43m (No. 216); the cell edges are 7.8151, 7.8151 and 7.8151 Å and the angles 90.00°, 90.00° and 90.00°. The distinct sites, in fractional coordinates, are Nd at (0.0000, 0.0000, 0.0000), Tl at (0.2500, 0.2500, 0.7500), In at (0.2500, 0.2500, 0.2500) and Pb at (0.0000, 0.0000, 0.5000).

The calculation puts the volume at 29.832 A^3/atom.

=====

Entry 2:
First-principles (GGA-PBE) data for a relaxed NdTlInPb crystal, as listed in the Alexandria database.

The structure belongs to space group Pmmm (No. 47); the cell edges are 4.7129, 4.7698 and 5.0091 Å and the angles 90.00°, 90.00° and 90.00°. The distinct sites, in fractional coordinates, are Nd at (0.0000, 0.0000, 0.0000), Tl at (0.5000, 0.0000, 0.5000), In at (0.0000, 0.5000, 0.5000) and Pb at (0.5000, 0.5000, 0.0000).

The calculation puts the volume at 28.151 A^3/atom.

=====

Entry 3:
First-principles (GGA-PBE) data for a relaxed NdYInPb crystal, as listed in the Alexandria database.

The structure belongs to space group F-43m (No. 216); the cell edges are 7.7349, 7.7349 and 7.7349 Å and the angles 90.00°, 90.00° and 90.00°. The distinct sites, in fractional coordinates, are Nd at (0.0000, 0.0000, 0.0000), Y at (0.0000, 0.0000, 0.5000), In at (0.2500, 0.2500, 0.7500) and Pb at (0.2500, 0.2500, 0.2500).

The calculation puts the volume at 28.923 A^3/atom.

=====

Entry 4:
First-principles (GGA-PBE) data for a relaxed NdYInPb crystal, as listed in the Alexandria database.

The structure belongs to space group I-4m2 (No. 119); the cell edges are 5.0510, 5.0510 and 8.9591 Å and the angles 90.00°, 90.00° and 90.00°. The distinct sites, in fractional coordinates, are Nd at (0.0000, 0.0000, 0.0000), Y at (0.0000, 0.0000, 0.5000), In at (0.0000, 0.5000, 0.2500) and Pb at (0.0000, 0.5000, 0.7500).

The calculation puts the volume at 28.571 A^3/atom.

=====

Entry 5:
First-principles (GGA-PBE) data for a relaxed NdInPd2 crystal, as listed in the Alexandria database.

The structure belongs to space group Pmmn (No. 59, origin choice 2); the cell edges are 4.7019, 6.9279 and 5.2896 Å and the angles 90.00°, 90.00° and 90.00°. The distinct sites, in fractional coordinates, are Nd at (0.2500, 0.2500, 0.1963), In at (0.2500, 0.7500, 0.2828) and Pd at (0.2500, 0.0321, 0.6834).

The calculation puts the volume at 21.538 A^3/atom.

=====

Entry 6:
First-principles (GGA-PBE) data for a relaxed NdIn2Pd6 crystal, as listed in the Alexandria database.

The structure belongs to space group Immm (No. 71); the cell edges are 3.2026, 7.5119 and 14.1453 Å and the angles 90.00°, 90.00° and 90.00°. The distinct sites, in fractional coordinates, are Nd at (0.0000, 0.0000, 0.0000), In at (0.0000, 0.5000, 0.1479), Pd at (0.0000, 0.1749, 0.5000) and Pd at (0.0000, 0.3158, 0.3237).

The calculation puts the volume at 18.906 A^3/atom.

=====

Entry 7:
First-principles (GGA-PBE) data for a relaxed Nd7In2Pd2 crystal, as listed in the Alexandria database.

The structure belongs to space group Cmmm (No. 65); the cell edges are 8.3778, 11.4575 and 7.3070 Å and the angles 90.00°, 90.00° and 90.00°. The distinct sites, in fractional coordinates, are Nd at (0.0000, 0.0000, 0.0000), Nd at (0.0000, 0.5000, 0.2508), Nd at (0.2500, 0.2500, 0.2587), In at (0.1702, 0.0000, 0.5000) and Pd at (0.0000, 0.2900, 0.0000).

The calculation puts the volume at 31.881 A^3/atom.

=====

Entry 8:
First-principles (GGA-PBE) data for a relaxed Nd2InPd4 crystal, as listed in the Alexandria database.

The structure belongs to space group I4/mmm (No. 139); the cell edges are 4.9579, 4.9579 and 14.6300 Å and the angles 90.00°, 90.00° and 90.00°. The distinct sites, in fractional coordinates, are Nd at (0.0000, 0.0000, 0.1330), In at (0.0000, 0.0000, 0.5000), Pd at (0.0000, 0.0000, 0.3187) and Pd at (0.0000, 0.5000, 0.0000).

The calculation puts the volume at 25.687 A^3/atom.

=====

Entry 9:
First-principles (GGA-PBE) data for a relaxed Nd5In4Pd crystal, as listed in the Alexandria database.

The structure belongs to space group P4/mmm (No. 123); the cell edges are 3.6558, 3.6558 and 20.9143 Å and the angles 90.00°, 90.00° and 90.00°. The distinct sites, in fractional coordinates, are Nd at (0.0000, 0.0000, 0.0000), Nd at (0.0000, 0.0000, 0.2074), Nd at (0.0000, 0.0000, 0.4150), In at (0.5000, 0.5000, 0.1036), In at (0.5000, 0.5000, 0.3110) and Pd at (0.5000, 0.5000, 0.5000).

The calculation puts the volume at 27.951 A^3/atom.

=====

Entry 10:
First-principles (GGA-PBE) data for a relaxed Nd4In3Pd crystal, as listed in the Alexandria database.

The structure belongs to space group P4/mmm (No. 123); the cell edges are 3.6761, 3.6761 and 16.4212 Å and the angles 90.00°, 90.00° and 90.00°. The distinct sites, in fractional coordinates, are Nd at (0.0000, 0.0000, 0.1076), Nd at (0.0000, 0.0000, 0.3688), In at (0.5000, 0.5000, 0.2389), In at (0.5000, 0.5000, 0.5000) and Pd at (0.5000, 0.5000, 0.0000).

The calculation puts the volume at 27.738 A^3/atom.

=====

Entry 11:
First-principles (GGA-PBE) data for a relaxed Nd4InPd crystal, as listed in the Alexandria database.

The structure belongs to space group F-43m (No. 216); the cell edges are 14.2152, 14.2152 and 14.2152 Å and the angles 90.00°, 90.00° and 90.00°. The distinct sites, in fractional coordinates, are Nd at (0.0000, 0.0000, 0.1859), Nd at (0.0557, 0.2500, 0.2500), Nd at (0.1017, 0.1017, 0.6017), In at (0.1691, 0.1691, 0.8309) and Pd at (0.1064, 0.1064, 0.3936).

The calculation puts the volume at 29.922 A^3/atom.

=====

Entry 12:
First-principles (GGA-PBE) data for a relaxed Nd2In3Pd5 crystal, as listed in the Alexandria database.

The structure belongs to space group Ibam (No. 72); the cell edges are 10.7387, 13.7724 and 5.8828 Å and the angles 90.00°, 90.00° and 90.00°. The distinct sites, in fractional coordinates, are Nd at (0.2401, 0.1301, 0.0000), In at (0.0000, 0.5000, 0.2500), In at (0.0809, 0.1520, 0.5000), Pd at (0.0000, 0.0000, 0.2500), Pd at (0.0000, 0.3030, 0.2500) and Pd at (0.1837, 0.4047, 0.0000).

The calculation puts the volume at 21.751 A^3/atom.

=====

Entry 13:
First-principles (GGA-PBE) data for a relaxed NdInPd crystal, as listed in the Alexandria database.

The structure belongs to space group P-62m (No. 189); the cell edges are 7.8527, 7.8527 and 3.9675 Å and the angles 90.00°, 90.00° and 120.00°. The distinct sites, in fractional coordinates, are Nd at (0.0000, 0.5893, 0.0000), In at (0.0000, 0.2548, 0.5000), Pd at (0.0000, 0.0000, 0.0000) and Pd at (0.3333, 0.6667, 0.5000).

The calculation puts the volume at 23.542 A^3/atom.

=====

In order of appearance, E_form = -0.739; -1.513; -1.782; -1.947; -2.940; -3.602; -3.542; -1.584; -5.471; -4.399; -2.697; -6.023; -2.345 eV per formula unit.
In order of appearance, D(E_F) = 8.2; 2.2; 11.3; 6.5; 5.2; 9.8; 24.5; 7.7; 3.6; 5.3; 111.2; 28.4; 8.4 states/eV per cell.